# MnPtCl2 | Alexandria via LeMat-Bulk | PBE-GGA | optimized geometry
# ΔE_f (raw) (eV/atom): 0.196
# VASP energy (eV per atom): -4.530
# Theoretical density (g cm⁻³): 5.76
# Space group: P4/mmm
# Offset from the most stable computed form (meV per atom): 604
data_MnPtCl2
_space_group_name_H-M_alt 'P 1'
_space_group_IT_number 1
_cell_length_a 3.008
_cell_length_b 3.008
_cell_length_c 10.234
_cell_angle_alpha 90.00
_cell_angle_beta 90.00
_cell_angle_gamma 90.00
loop_
_space_group_symop_operation_xyz
'x,y,z'
loop_
_atom_site_label
_atom_site_type_symbol
_atom_site_fract_x
_atom_site_fract_y
_atom_site_fract_z
Mn1 Mn 0.000 0.000 0.000
Pt1 Pt 0.000 0.000 0.500
Cl1 Cl 0.500 0.500 0.152
Cl2 Cl 0.500 0.500 0.848

# MnPt2Cl | Alexandria via LeMat-Bulk | PBE-GGA | optimized geometry
# ΔE_f (raw) (eV/atom): 0.450
# VASP energy (eV per atom): -5.324
# Theoretical density (g cm⁻³): 12.18
# Space group: P4/mmm
# Offset from the most stable computed form (meV per atom): 546
data_MnPt2Cl
_space_group_name_H-M_alt 'P 1'
_space_group_IT_number 1
_cell_length_a 4.725
_cell_length_b 4.725
_cell_length_c 2.934
_cell_angle_alpha 90.00
_cell_angle_beta 90.00
_cell_angle_gamma 90.00
loop_
_space_group_symop_operation_xyz
'x,y,z'
loop_
_atom_site_label
_atom_site_type_symbol
_atom_site_fract_x
_atom_site_fract_y
_atom_site_fract_z
Mn1 Mn 0.000 0.000 0.000
Pt1 Pt 0.000 0.500 0.500
Pt2 Pt 0.500 0.000 0.500
Cl1 Cl 0.500 0.500 0.000

# MnPt2Cl | Alexandria via LeMat-Bulk | PBE-GGA | optimized geometry
# ΔE_f (raw) (eV/atom): 0.082
# VASP energy (eV per atom): -5.693
# Theoretical density (g cm⁻³): 12.29
# Space group: Cmmm
# Offset from the most stable computed form (meV per atom): 177
data_MnPt2Cl
_space_group_name_H-M_alt 'P 1'
_space_group_IT_number 1
_cell_length_a 2.902
_cell_length_b 2.902
_cell_length_c 7.749
_cell_angle_alpha 90.00
_cell_angle_beta 90.00
_cell_angle_gamma 95.50
loop_
_space_group_symop_operation_xyz
'x,y,z'
loop_
_atom_site_label
_atom_site_type_symbol
_atom_site_fract_x
_atom_site_fract_y
_atom_site_fract_z
Mn1 Mn 0.000 0.000 0.000
Pt1 Pt 0.500 0.500 0.224
Pt2 Pt 0.500 0.500 0.776
Cl1 Cl 0.000 0.000 0.500

# MnPt2Cl | Alexandria via LeMat-Bulk | PBE-GGA | optimized geometry
# ΔE_f (raw) (eV/atom): 0.061
# VASP energy (eV per atom): -5.714
# Theoretical density (g cm⁻³): 11.94
# Space group: P4/mmm
# Offset from the most stable computed form (meV per atom): 156
data_MnPt2Cl
_space_group_name_H-M_alt 'P 1'
_space_group_IT_number 1
_cell_length_a 3.107
_cell_length_b 3.107
_cell_length_c 6.921
_cell_angle_alpha 90.00
_cell_angle_beta 90.00
_cell_angle_gamma 90.00
loop_
_space_group_symop_operation_xyz
'x,y,z'
loop_
_atom_site_label
_atom_site_type_symbol
_atom_site_fract_x
_atom_site_fract_y
_atom_site_fract_z
Mn1 Mn 0.000 0.000 0.000
Pt1 Pt 0.500 0.500 0.207
Pt2 Pt 0.500 0.500 0.793
Cl1 Cl 0.000 0.000 0.500

# MnPtCl5 | Alexandria via LeMat-Bulk | PBE-GGA | optimized geometry
# ΔE_f (raw) (eV/atom): -0.649
# VASP energy (eV per atom): -4.141
# Theoretical density (g cm⁻³): 4.04
# Space group: P-1
data_MnPtCl5
_space_group_name_H-M_alt 'P 1'
_space_group_IT_number 1
_cell_length_a 6.040
_cell_length_b 7.911
_cell_length_c 8.425
_cell_angle_alpha 67.04
_cell_angle_beta 78.30
_cell_angle_gamma 72.17
loop_
_space_group_symop_operation_xyz
'x,y,z'
loop_
_atom_site_label
_atom_site_type_symbol
_atom_site_fract_x
_atom_site_fract_y
_atom_site_fract_z
Mn1 Mn 0.000 0.000 0.000
Mn2 Mn 0.000 0.500 0.500
Pt1 Pt 0.339 0.220 0.252
Pt2 Pt 0.661 0.780 0.748
Cl1 Cl 0.019 0.754 0.592
Cl2 Cl 0.127 0.274 0.763
Cl3 Cl 0.283 0.987 0.176
Cl4 Cl 0.307 0.765 0.918
Cl5 Cl 0.400 0.428 0.359
Cl6 Cl 0.600 0.572 0.641
Cl7 Cl 0.693 0.235 0.082
Cl8 Cl 0.717 0.013 0.824
Cl9 Cl 0.873 0.726 0.237
Cl10 Cl 0.981 0.246 0.408

# Mn2PtCl | Alexandria via LeMat-Bulk | PBE-GGA | optimized geometry
# ΔE_f (raw) (eV/atom): 0.767
# VASP energy (eV per atom): -5.790
# Theoretical density (g cm⁻³): 10.50
# Space group: Fm-3m
# Offset from the most stable computed form (meV per atom): 933
data_Mn2PtCl
_space_group_name_H-M_alt 'P 1'
_space_group_IT_number 1
_cell_length_a 4.238
_cell_length_b 4.238
_cell_length_c 4.238
_cell_angle_alpha 60.00
_cell_angle_beta 60.00
_cell_angle_gamma 60.00
loop_
_space_group_symop_operation_xyz
'x,y,z'
loop_
_atom_site_label
_atom_site_type_symbol
_atom_site_fract_x
_atom_site_fract_y
_atom_site_fract_z
Mn1 Mn 0.250 0.250 0.250
Mn2 Mn 0.750 0.750 0.750
Pt1 Pt 0.000 0.000 0.000
Cl1 Cl 0.500 0.500 0.500